Record 1
Compound: YErMg2
Source: the Open Quantum Materials Database
Functional: PBE
Structure: optimized geometry

The structure in CIF format:
```
data_YErMg2
_chemical_formula_sum 'Y4 Er4 Mg8'
_space_group_name_H-M_alt 'C m c m'
_space_group_IT_number 63
_space_group_name_Hall '-C 2c 2'
_cell_length_a 7.521
_cell_length_b 10.713
_cell_length_c 5.342
_cell_angle_alpha 90.00
_cell_angle_beta 90.00
_cell_angle_gamma 90.00
loop_
_atom_site_label
_atom_site_fract_x
_atom_site_fract_y
_atom_site_fract_z
_atom_site_occupancy
Y1 0.000 0.130 0.250 1
Er1 0.000 0.375 0.750 1
Mg1 0.249 0.121 0.750 1
```

Values from the calculation:
E above lowest polymorph (meV/atom): 0


Record 2
Compound: NdAsN2O
Source: the Open Quantum Materials Database
Functional: PBE
Structure: optimized geometry

The structure in CIF format:
```
data_NdAsN2O
_chemical_formula_sum 'Nd6 As6 N12 O6'
_space_group_name_H-M_alt 'P 63/m m c'
_space_group_IT_number 194
_space_group_name_Hall '-P 6c 2c'
_cell_length_a 5.4428
_cell_length_b 5.4428
_cell_length_c 13.5234
_cell_angle_alpha 90.00
_cell_angle_beta 90.00
_cell_angle_gamma 120.00
loop_
_atom_site_label
_atom_site_fract_x
_atom_site_fract_y
_atom_site_fract_z
_atom_site_occupancy
Nd1 0.0000 0.0000 0.2500 1
Nd2 0.3333 0.6667 0.0788 1
As1 0.0000 0.0000 0.0000 1
As2 0.3333 0.6667 0.6492 1
N1 0.1638 0.3275 0.5843 1
O1 0.0237 0.5118 0.7500 1
```


Record 3
Compound: Zr4SnSN2
Source: the Open Quantum Materials Database
Functional: PBE
Structure: optimized geometry

The structure in CIF format:
```
data_Zr4SnSN2
_chemical_formula_sum 'Zr4 Sn1 S1 N2'
_space_group_name_H-M_alt 'P -6 m 2'
_space_group_IT_number 187
_space_group_name_Hall 'P -6 2'
_cell_length_a 3.3689
_cell_length_b 3.3689
_cell_length_c 13.2446
_cell_angle_alpha 90.00
_cell_angle_beta 90.00
_cell_angle_gamma 120.00
loop_
_atom_site_label
_atom_site_fract_x
_atom_site_fract_y
_atom_site_fract_z
_atom_site_occupancy
Zr1 0.0000 0.0000 0.1378 1
Zr2 0.3333 0.6667 0.3203 1
Sn1 0.0000 0.0000 0.5000 1
S1 0.3333 0.6667 0.0000 1
N1 0.6667 0.3333 0.2309 1
```


Record 4
Compound: CoSiOsPt
Source: the Open Quantum Materials Database
Functional: PBE
Structure: optimized geometry

The structure in CIF format:
```
data_CoSiOsPt
_chemical_formula_sum 'Co4 Si4 Os4 Pt4'
_space_group_name_H-M_alt 'F -4 3 m'
_space_group_IT_number 216
_space_group_name_Hall 'F -4 2 3'
_cell_length_a 6.017
_cell_length_b 6.017
_cell_length_c 6.017
_cell_angle_alpha 90.00
_cell_angle_beta 90.00
_cell_angle_gamma 90.00
loop_
_atom_site_label
_atom_site_fract_x
_atom_site_fract_y
_atom_site_fract_z
_atom_site_occupancy
Co1 0.000 0.000 0.000 1
Si1 0.250 0.250 0.750 1
Os1 0.000 0.000 0.500 1
Pt1 0.250 0.250 0.250 1
```

Values from the calculation:
E above lowest polymorph (meV/atom): 0


Record 5
Compound: UCuAu
Source: the Open Quantum Materials Database
Functional: PBE
Structure: optimized geometry

The structure in CIF format:
```
data_UCuAu
_chemical_formula_sum 'U4 Cu4 Au4'
_space_group_name_H-M_alt 'F -4 3 m'
_space_group_IT_number 216
_space_group_name_Hall 'F -4 2 3'
_cell_length_a 6.650
_cell_length_b 6.650
_cell_length_c 6.650
_cell_angle_alpha 90.00
_cell_angle_beta 90.00
_cell_angle_gamma 90.00
loop_
_atom_site_label
_atom_site_fract_x
_atom_site_fract_y
_atom_site_fract_z
_atom_site_occupancy
U1 0.000 0.000 0.000 1
Cu1 0.250 0.250 0.250 1
Au1 0.250 0.250 0.750 1
```

Values from the calculation:
E_form (eV/atom): 0.5994
E above lowest polymorph (meV/atom): 259


Record 6
Compound: DyErSi4Pd2
Source: the Open Quantum Materials Database
Functional: PBE
Structure: optimized geometry

The structure in CIF format:
```
data_DyErSi4Pd2
_chemical_formula_sum 'Dy2 Er2 Si8 Pd4'
_space_group_name_H-M_alt 'A m m 2'
_space_group_IT_number 38
_cell_length_a 4.084
_cell_length_b 4.018
_cell_length_c 17.404
_cell_angle_alpha 90.00
_cell_angle_beta 90.00
_cell_angle_gamma 90.00
loop_
_space_group_symop_operation_xyz
'x,y,z'
'-x,-y,z'
'-x,y,z'
'x,-y,z'
'x,y+1/2,z+1/2'
'-x,-y+1/2,z+1/2'
'-x,y+1/2,z+1/2'
'x,-y+1/2,z+1/2'
loop_
_atom_site_label
_atom_site_fract_x
_atom_site_fract_y
_atom_site_fract_z
_atom_site_occupancy
Dy1 0.000 0.000 0.000 1
Er1 0.500 0.000 0.802 1
Si1 0.000 0.000 0.366 1
Si2 0.000 0.000 0.650 1
Si3 0.500 0.000 0.153 1
Si4 0.500 0.000 0.435 1
Pd1 0.000 0.000 0.230 1
Pd2 0.500 0.000 0.572 1
```


Record 7
Compound: Zr4Fe3W2C3
Source: the Open Quantum Materials Database
Functional: PBE
Structure: optimized geometry

The structure in CIF format:
```
data_Zr4Fe3W2C3
_chemical_formula_sum 'Zr16 Fe12 W8 C12'
_space_group_name_H-M_alt 'C 1 2/c 1'
_space_group_IT_number 15
_cell_length_a 9.430
_cell_length_b 5.444
_cell_length_c 13.826
_cell_angle_alpha 90.00
_cell_angle_beta 102.86
_cell_angle_gamma 90.00
loop_
_space_group_symop_operation_xyz
'x,y,z'
'-x,-y,-z'
'-x,y,-z+1/2'
'x,-y,z+1/2'
'x+1/2,y+1/2,z'
'-x+1/2,-y+1/2,-z'
'-x+1/2,y+1/2,-z+1/2'
'x+1/2,-y+1/2,z+1/2'
loop_
_atom_site_label
_atom_site_fract_x
_atom_site_fract_y
_atom_site_fract_z
_atom_site_occupancy
Zr1 0.046 0.081 0.385 1
Zr2 0.223 0.413 0.906 1
Fe1 0.000 0.423 0.750 1
Fe2 0.245 0.158 0.750 1
W1 0.113 0.411 0.584 1
C1 0.074 0.254 0.001 1
C2 0.250 0.250 0.500 1
```


Record 8
Compound: SrCo2Cu
Source: the Open Quantum Materials Database
Functional: PBE
Structure: optimized geometry

The structure in CIF format:
```
data_SrCo2Cu
_chemical_formula_sum 'Sr4 Co8 Cu4'
_space_group_name_H-M_alt 'F -4 3 m'
_space_group_IT_number 216
_space_group_name_Hall 'F -4 2 3'
_cell_length_a 6.450
_cell_length_b 6.450
_cell_length_c 6.450
_cell_angle_alpha 90.00
_cell_angle_beta 90.00
_cell_angle_gamma 90.00
loop_
_atom_site_label
_atom_site_fract_x
_atom_site_fract_y
_atom_site_fract_z
_atom_site_occupancy
Sr1 0.000 0.000 0.000 1
Co1 0.000 0.000 0.500 1
Co2 0.250 0.250 0.750 1
Cu1 0.250 0.250 0.250 1
```


Taking the records one at a time from the top gives total DFT energy (no corrections) values of -3.616 -6.870 -8.727 -7.378 -5.494 -5.953 -9.658 -4.218 eV/atom.